# 1
# Al3TcAs | the Alexandria database | SCAN | PBEsol geometry
data_Al3TcAs
_chemical_formula_sum 'Al3 Tc1 As1'
_cell_length_a 4.6748
_cell_length_b 4.6748
_cell_length_c 4.6748
_cell_angle_alpha 90.00
_cell_angle_beta 90.00
_cell_angle_gamma 90.00
_space_group_name_H-M_alt 'P m -3 m'
_space_group_IT_number 221
_space_group_name_Hall '-P 4 2 3'
loop_
_atom_site_label
_atom_site_type_symbol
_atom_site_fract_x
_atom_site_fract_y
_atom_site_fract_z
Al1 Al 0.0000 0.0000 0.5000
Tc1 Tc 0.5000 0.5000 0.5000
As1 As 0.0000 0.0000 0.0000
# - E (hartree per atom) = -0.535
# - energy of formation from the pure elements (eV/atom) = 1.149

---

# 2
# AlTcAs2 | the Alexandria database | SCAN | PBEsol geometry
data_AlTcAs2
_chemical_formula_sum 'Al3 Tc3 As6'
_cell_length_a 3.2114
_cell_length_b 3.2114
_cell_length_c 21.8957
_cell_angle_alpha 90.00
_cell_angle_beta 90.00
_cell_angle_gamma 120.00
_space_group_name_H-M_alt 'R -3 m'
_space_group_IT_number 166
_space_group_name_Hall '-R 3 2"'
loop_
_atom_site_label
_atom_site_type_symbol
_atom_site_fract_x
_atom_site_fract_y
_atom_site_fract_z
Al1 Al 0.0000 0.0000 0.0000
Tc1 Tc 0.0000 0.0000 0.5000
As1 As 0.0000 0.0000 0.2455
# - E (hartree per atom) = -0.765
# - energy of formation from the pure elements (eV/atom) = -0.006

---

# 3
# AlTc2As | the Alexandria database | SCAN | PBEsol geometry
data_AlTc2As
_chemical_formula_sum 'Al1 Tc2 As1'
_cell_length_a 2.9553
_cell_length_b 4.3893
_cell_length_c 4.3763
_cell_angle_alpha 90.00
_cell_angle_beta 90.00
_cell_angle_gamma 90.00
_space_group_name_H-M_alt 'P m m 2'
_space_group_IT_number 25
loop_
_space_group_symop_operation_xyz
'x,y,z'
'-x,-y,z'
'-x,y,z'
'x,-y,z'
loop_
_atom_site_label
_atom_site_type_symbol
_atom_site_fract_x
_atom_site_fract_y
_atom_site_fract_z
Al1 Al 0.0000 0.0000 0.0000
Tc1 Tc 0.0000 0.5000 0.3133
Tc2 Tc 0.5000 0.0000 0.5106
As1 As 0.5000 0.5000 0.8353
# - E (hartree per atom) = -0.908
# - energy above the lowest structure with this stoichiometry (kJ per mole of atoms) = 0.00
# - energy of formation from the pure elements (eV/atom) = -0.184

---

# 4
# AlTc2As | the Alexandria database | SCAN | PBEsol geometry
data_AlTc2As
_chemical_formula_sum 'Al3 Tc6 As3'
_cell_length_a 2.8983
_cell_length_b 2.8983
_cell_length_c 24.4434
_cell_angle_alpha 90.00
_cell_angle_beta 90.00
_cell_angle_gamma 120.00
_space_group_name_H-M_alt 'R 3 m'
_space_group_IT_number 160
_space_group_name_Hall 'R 3 -2"'
loop_
_atom_site_label
_atom_site_type_symbol
_atom_site_fract_x
_atom_site_fract_y
_atom_site_fract_z
Al1 Al 0.0000 0.0000 0.0000
Tc1 Tc 0.0000 0.0000 0.4977
Tc2 Tc 0.0000 0.0000 0.7478
As1 As 0.0000 0.0000 0.2420
# - E (hartree per atom) = -0.905
# - energy above the lowest structure with this stoichiometry (kJ per mole of atoms) = 8.17
# - energy of formation from the pure elements (eV/atom) = -0.100

---

# 5
# AlTc2As | the Alexandria database | SCAN | PBEsol geometry
data_AlTc2As
_chemical_formula_sum 'Al4 Tc8 As4'
_cell_length_a 7.1945
_cell_length_b 7.1945
_cell_length_c 5.0562
_cell_angle_alpha 90.00
_cell_angle_beta 90.00
_cell_angle_gamma 90.00
_space_group_name_H-M_alt 'I -4 2 d'
_space_group_IT_number 122
_space_group_name_Hall 'I -4 2bw'
loop_
_atom_site_label
_atom_site_type_symbol
_atom_site_fract_x
_atom_site_fract_y
_atom_site_fract_z
Al1 Al 0.0000 0.0000 0.0000
Tc1 Tc 0.1866 0.2500 0.6250
As1 As 0.0000 0.0000 0.5000
# - E (hartree per atom) = -0.886
# - energy above the lowest structure with this stoichiometry (kJ per mole of atoms) = 56.29
# - energy of formation from the pure elements (eV/atom) = 0.399

---

# 6
# AlTcAs2 | the Alexandria database | SCAN | PBEsol geometry
data_AlTcAs2
_chemical_formula_sum 'Al2 Tc2 As4'
_cell_length_a 3.2567
_cell_length_b 4.5565
_cell_length_c 8.3234
_cell_angle_alpha 90.00
_cell_angle_beta 90.00
_cell_angle_gamma 90.00
_space_group_name_H-M_alt 'I m m 2'
_space_group_IT_number 44
loop_
_space_group_symop_operation_xyz
'x,y,z'
'-x,-y,z'
'-x,y,z'
'x,-y,z'
'x+1/2,y+1/2,z+1/2'
'-x+1/2,-y+1/2,z+1/2'
'-x+1/2,y+1/2,z+1/2'
'x+1/2,-y+1/2,z+1/2'
loop_
_atom_site_label
_atom_site_type_symbol
_atom_site_fract_x
_atom_site_fract_y
_atom_site_fract_z
Al1 Al 0.0000 0.0000 0.0000
Tc1 Tc 0.0000 0.5000 0.2364
As1 As 0.0000 0.0000 0.5003
As2 As 0.0000 0.5000 0.7429
# - E (hartree per atom) = -0.760
# - energy of formation from the pure elements (eV/atom) = 0.109

---

# 7
# AlTcAs | the Alexandria database | SCAN | PBEsol geometry
data_AlTcAs
_chemical_formula_sum 'Al1 Tc1 As1'
_cell_length_a 4.1441
_cell_length_b 4.1441
_cell_length_c 3.1403
_cell_angle_alpha 90.00
_cell_angle_beta 90.00
_cell_angle_gamma 120.00
_space_group_name_H-M_alt 'P -6 m 2'
_space_group_IT_number 187
_space_group_name_Hall 'P -6 2'
loop_
_atom_site_label
_atom_site_type_symbol
_atom_site_fract_x
_atom_site_fract_y
_atom_site_fract_z
Al1 Al 0.0000 0.0000 0.0000
Tc1 Tc 0.6667 0.3333 0.5000
As1 As 0.3333 0.6667 0.5000
# - E (hartree per atom) = -0.773
# - energy of formation from the pure elements (eV/atom) = -0.045

---

# 8
# AlTc2As | the Alexandria database | SCAN | PBEsol geometry
data_AlTc2As
_chemical_formula_sum 'Al2 Tc4 As2'
_cell_length_a 5.6747
_cell_length_b 7.9981
_cell_length_c 2.8616
_cell_angle_alpha 90.00
_cell_angle_beta 116.70
_cell_angle_gamma 90.00
_space_group_name_H-M_alt 'C 1 2/m 1'
_space_group_IT_number 12
loop_
_space_group_symop_operation_xyz
'x,y,z'
'-x,-y,-z'
'-x,y,-z'
'x,-y,z'
'x+1/2,y+1/2,z'
'-x+1/2,-y+1/2,-z'
'-x+1/2,y+1/2,-z'
'x+1/2,-y+1/2,z'
loop_
_atom_site_label
_atom_site_type_symbol
_atom_site_fract_x
_atom_site_fract_y
_atom_site_fract_z
Al1 Al 0.0000 0.0000 0.0000
Tc1 Tc 0.2500 0.2500 0.5000
As1 As 0.0000 0.5000 0.0000
# - E (hartree per atom) = -0.901
# - energy above the lowest structure with this stoichiometry (kJ per mole of atoms) = 16.86
# - energy of formation from the pure elements (eV/atom) = -0.009

---

# 9
# AlTcAs2 | the Alexandria database | SCAN | PBEsol geometry
data_AlTcAs2
_chemical_formula_sum 'Al2 Tc2 As4'
_cell_length_a 4.2020
_cell_length_b 3.3049
_cell_length_c 9.1350
_cell_angle_alpha 90.00
_cell_angle_beta 90.00
_cell_angle_gamma 90.00
_space_group_name_H-M_alt 'A m m 2'
_space_group_IT_number 38
loop_
_space_group_symop_operation_xyz
'x,y,z'
'-x,-y,z'
'-x,y,z'
'x,-y,z'
'x,y+1/2,z+1/2'
'-x,-y+1/2,z+1/2'
'-x,y+1/2,z+1/2'
'x,-y+1/2,z+1/2'
loop_
_atom_site_label
_atom_site_type_symbol
_atom_site_fract_x
_atom_site_fract_y
_atom_site_fract_z
Al1 Al 0.0000 0.0000 0.0000
Tc1 Tc 0.5000 0.0000 0.1615
As1 As 0.0000 0.0000 0.7308
As2 As 0.5000 0.0000 0.4440
# - E (hartree per atom) = -0.768
# - energy of formation from the pure elements (eV/atom) = -0.107

---

# 10
# AlTe2As | the Alexandria database | SCAN | PBEsol geometry
data_AlTe2As
_chemical_formula_sum 'Al2 Te4 As2'
_cell_length_a 3.7488
_cell_length_b 4.8336
_cell_length_c 10.6169
_cell_angle_alpha 90.00
_cell_angle_beta 90.00
_cell_angle_gamma 90.00
_space_group_name_H-M_alt 'C m m 2'
_space_group_IT_number 35
loop_
_space_group_symop_operation_xyz
'x,y,z'
'-x,-y,z'
'-x,y,z'
'x,-y,z'
'x+1/2,y+1/2,z'
'-x+1/2,-y+1/2,z'
'-x+1/2,y+1/2,z'
'x+1/2,-y+1/2,z'
loop_
_atom_site_label
_atom_site_type_symbol
_atom_site_fract_x
_atom_site_fract_y
_atom_site_fract_z
Al1 Al 0.0000 0.0000 0.0000
Te1 Te 0.0000 0.0000 0.4610
Te2 Te 0.0000 0.5000 0.7767
As1 As 0.0000 0.5000 0.1667
# - E (hartree per atom) = -0.933
# - formation energy without anion corrections (kJ/mol of atoms) = 20.5

---

# 11
# AlTeAs | the Alexandria database | SCAN | PBEsol geometry
data_AlTeAs
_chemical_formula_sum 'Al1 Te1 As1'
_cell_length_a 3.3831
_cell_length_b 3.3831
_cell_length_c 7.0895
_cell_angle_alpha 90.00
_cell_angle_beta 90.00
_cell_angle_gamma 120.00
_space_group_name_H-M_alt 'P 3 m 1'
_space_group_IT_number 156
loop_
_space_group_symop_operation_xyz
'x,y,z'
'-y,x-y,z'
'-x+y,-x,z'
'-y,-x,z'
'-x+y,y,z'
'x,x-y,z'
loop_
_atom_site_label
_atom_site_type_symbol
_atom_site_fract_x
_atom_site_fract_y
_atom_site_fract_z
Al1 Al 0.0000 0.0000 0.0000
Te1 Te 0.3333 0.6667 0.2869
As1 As 0.6667 0.3333 0.7632
# - E (hartree per atom) = -0.798
# - formation energy without anion corrections (kJ/mol of atoms) = 2.8

---

# 12
# Ti2AlAs | the Alexandria database | SCAN | PBEsol geometry
data_Ti2AlAs
_chemical_formula_sum 'Ti8 Al4 As4'
_cell_length_a 6.9846
_cell_length_b 6.9846
_cell_length_c 5.5119
_cell_angle_alpha 90.00
_cell_angle_beta 90.00
_cell_angle_gamma 90.00
_space_group_name_H-M_alt 'I -4 2 d'
_space_group_IT_number 122
_space_group_name_Hall 'I -4 2bw'
loop_
_atom_site_label
_atom_site_type_symbol
_atom_site_fract_x
_atom_site_fract_y
_atom_site_fract_z
Ti1 Ti 0.2333 0.2500 0.1250
Al1 Al 0.0000 0.0000 0.5000
As1 As 0.0000 0.0000 0.0000
# - E (hartree per atom) = -0.564
# - energy of formation from the pure elements (eV/atom) = -0.333

---

# 13
# AlTlAs | the Alexandria database | SCAN | PBEsol geometry
data_AlTlAs
_chemical_formula_sum 'Al4 Tl4 As4'
_cell_length_a 6.7454
_cell_length_b 6.7454
_cell_length_c 6.7454
_cell_angle_alpha 90.00
_cell_angle_beta 90.00
_cell_angle_gamma 90.00
_space_group_name_H-M_alt 'F -4 3 m'
_space_group_IT_number 216
_space_group_name_Hall 'F -4 2 3'
loop_
_atom_site_label
_atom_site_type_symbol
_atom_site_fract_x
_atom_site_fract_y
_atom_site_fract_z
Al1 Al 0.0000 0.0000 0.0000
Tl1 Tl 0.2500 0.2500 0.2500
As1 As 0.0000 0.0000 0.5000
# - E (hartree per atom) = -1.209
# - energy of formation from the pure elements (eV/atom) = 0.533

---

# 14
# Al2TlAs | the Alexandria database | SCAN | PBEsol geometry
data_Al2TlAs
_chemical_formula_sum 'Al2 Tl1 As1'
_cell_length_a 3.8220
_cell_length_b 4.1449
_cell_length_c 5.1675
_cell_angle_alpha 90.00
_cell_angle_beta 90.00
_cell_angle_gamma 90.00
_space_group_name_H-M_alt 'P m m m'
_space_group_IT_number 47
loop_
_space_group_symop_operation_xyz
'x,y,z'
'-x,-y,-z'
'-x,-y,z'
'x,y,-z'
'x,-y,-z'
'-x,y,z'
'-x,y,-z'
'x,-y,z'
loop_
_atom_site_label
_atom_site_type_symbol
_atom_site_fract_x
_atom_site_fract_y
_atom_site_fract_z
Al1 Al 0.0000 0.0000 0.0000
Al2 Al 0.5000 0.0000 0.5000
Tl1 Tl 0.0000 0.5000 0.5000
As1 As 0.5000 0.5000 0.0000
# - E (hartree per atom) = -0.982
# - energy above the lowest structure with this stoichiometry (kJ per mole of atoms) = 29.95
# - energy of formation from the pure elements (eV/atom) = 0.286

---

# 15
# AlTlAs2 | the Alexandria database | SCAN | PBEsol geometry
data_AlTlAs2
_chemical_formula_sum 'Al2 Tl2 As4'
_cell_length_a 6.8082
_cell_length_b 3.8293
_cell_length_c 6.9221
_cell_angle_alpha 90.00
_cell_angle_beta 107.98
_cell_angle_gamma 90.00
_space_group_name_H-M_alt 'C 1 2/m 1'
_space_group_IT_number 12
loop_
_space_group_symop_operation_xyz
'x,y,z'
'-x,-y,-z'
'-x,y,-z'
'x,-y,z'
'x+1/2,y+1/2,z'
'-x+1/2,-y+1/2,-z'
'-x+1/2,y+1/2,-z'
'x+1/2,-y+1/2,z'
loop_
_atom_site_label
_atom_site_type_symbol
_atom_site_fract_x
_atom_site_fract_y
_atom_site_fract_z
Al1 Al 0.0000 0.0000 0.0000
Tl1 Tl 0.0000 0.5000 0.5000
As1 As 0.2373 0.5000 0.2022
# - E (hartree per atom) = -1.108
# - energy above the lowest structure with this stoichiometry (kJ per mole of atoms) = 19.67
# - energy of formation from the pure elements (eV/atom) = -0.037